A geometry-optimized CeCrPb2O6 structure. Source: the Alexandria database, functional GGA+U.

Structure (extended XYZ):
```
20
Lattice="5.8409 0.0000 -0.1093 0.0000 5.7854 0.0000 -0.1076 0.0000 8.4584" Properties=species:S:1:pos:R:3 pbc="T T T"
O 4.2110 1.7934 4.3156
Ce 2.8667 0.0000 4.1745
Pb 3.0180 2.6799 1.9973
Pb 0.0438 0.2128 6.2812
Pb 5.6895 5.5726 2.0679
Pb 2.7153 3.1055 6.3517
O 4.3890 4.6861 8.2080
O 0.2640 2.7924 6.2270
Cr -0.0538 2.8927 4.2292
O 1.8460 4.1743 0.1082
O 5.4693 2.9930 2.1220
O 4.7126 4.5038 4.2828
O 2.4951 5.6851 6.4059
Ce 0.0000 2.8927 0.0000
O 1.0207 1.2816 4.0663
O 3.2382 0.1003 1.9432
O 1.3443 1.0993 0.1411
O 3.8874 1.6111 8.2408
O 1.5223 3.9920 4.0334
Cr 2.9204 0.0000 -0.0547
```

Values from the calculation:
As for the size of the total moment: 4.00 Bohr magnetons per cell. As for the density: 8.16 Mg/m³. The calculation puts the total energy at -0.509 Ry per atom.